Below is a geometry-optimized MoP2SN structure, with properties calculated at the PBE level.

Cell lengths 3.9327, 3.9327, 4.1651 Å; angles 90.00, 90.00, 90.00 degrees
With the nearest neighbours (Å) after each atom.
Fractional positions:
P 0.0000 0.5000 0.0000  2 N 1.97
P 0.5000 0.0000 0.0000  2 N 1.97
N 0.0000 0.0000 0.0000  4 P 1.97, 2 S 2.08
S 0.0000 0.0000 0.5000  2 N 2.08
Mo 0.5000 0.5000 0.5000  4 S 2.78, 8 P 2.86

* total magnetization: 1.22 μB/cell
* density: 5258 kg/m³
* ΔE_f (raw): 0.870 eV per atom
* relative energy among the computed polymorphs: 0.0 meV per atom